1.
A plane-wave DFT calculation with PBE was carried out for a relaxed BaIn2GePd5 crystal.

As for the formation energy: -40 kJ per mole of atoms. As for the magnetic moment: 0.00 μB per cell.

The space group is Immm (No. 71) and the conventional cell measures 4.7972, 5.9224 and 14.0742 Å, with angles of 90.00, 90.00 and 90.00 degrees. The asymmetric unit holds Ba at (0.0000, 0.0000, 0.0000), In at (0.0000, 0.5000, 0.1970), Ge at (0.0000, 0.0000, 0.5000), Pd at (0.0000, 0.2401, 0.3536) and Pd at (0.0000, 0.5000, 0.0000).


2.
A plane-wave DFT calculation with PBE was carried out for a relaxed CePmSc2 crystal.

As for the formation energy: 10 kJ per mole of atoms. As for the magnetic moment: 1.33 μB per cell.

The space group is Fm-3m (No. 225) and the conventional cell measures 7.6820, 7.6820 and 7.6820 Å, with angles of 90.00, 90.00 and 90.00 degrees. The asymmetric unit holds Ce at (0.0000, 0.0000, 0.0000), Pm at (0.0000, 0.0000, 0.5000) and Sc at (0.2500, 0.2500, 0.2500).


3.
A plane-wave DFT calculation with PBE was carried out for a relaxed NbRhCl3 crystal.

As for the magnetic moment: 0.59 μB per cell. The formation energy (no corrections) is 205 meV/atom.

The space group is Pm-3m (No. 221) and the conventional cell measures 4.9097, 4.9097 and 4.9097 Å, with angles of 90.00, 90.00 and 90.00 degrees. The asymmetric unit holds Nb at (0.0000, 0.0000, 0.0000), Rh at (0.5000, 0.5000, 0.5000) and Cl at (0.0000, 0.0000, 0.5000).


4.
A plane-wave DFT calculation with PBE was carried out for a relaxed CuSbTe2Mo crystal.

As for the magnetic moment: 3.44 μB per cell. The formation energy (no corrections) is 972 meV/atom.

The space group is P4/mmm (No. 123) and the conventional cell measures 5.1929, 5.1929 and 4.9070 Å, with angles of 90.00, 90.00 and 90.00 degrees. The asymmetric unit holds Cu at (0.0000, 0.0000, 0.0000), Sb at (0.0000, 0.0000, 0.5000), Te at (0.0000, 0.5000, 0.0000) and Mo at (0.5000, 0.5000, 0.5000).


5.
A plane-wave DFT calculation with PBE was carried out for a relaxed NiRuAu2 crystal.

As for the formation energy: 41 kJ per mole of atoms. As for the magnetic moment: 10.05 μB per cell.

The space group is F-43m (No. 216) and the conventional cell measures 6.3147, 6.3147 and 6.3147 Å, with angles of 90.00, 90.00 and 90.00 degrees. The asymmetric unit holds Ni at (0.0000, 0.0000, 0.0000), Ru at (0.2500, 0.2500, 0.2500), Au at (0.0000, 0.0000, 0.5000) and Au at (0.2500, 0.2500, 0.7500).


6.
A plane-wave DFT calculation with PBE was carried out for a relaxed RbCoAs crystal.

As for the formation energy: -5 kJ per mole of atoms. As for the magnetic moment: 0.00 μB per cell.

The space group is P1 (No. 1) and the conventional cell measures 3.4123, 4.2666 and 12.2255 Å, with angles of 90.56, 96.63 and 113.44 degrees. The asymmetric unit holds Rb at (0.0000, 0.0000, 0.0000), Rb at (0.4854, 0.4238, 0.6300), Co at (0.3161, 0.3421, 0.3534), Co at (0.5410, 0.8708, 0.2600), As at (0.0605, 0.7828, 0.4095) and As at (0.8042, 0.4391, 0.2103).


7.
A plane-wave DFT calculation with PBE was carried out for a relaxed LiPuGa4Cu2 crystal.

As for the formation energy: -22 kJ per mole of atoms. As for the magnetic moment: 16.02 μB per cell.

The space group is R-3m (No. 166, hexagonal axes) and the conventional cell measures 4.2383, 4.2383 and 25.6750 Å, with angles of 90.00, 90.00 and 120.00 degrees. The asymmetric unit holds Li at (0.0000, 0.0000, 0.0000), Pu at (0.0000, 0.0000, 0.5000), Ga at (0.0000, 0.0000, 0.1015), Ga at (0.0000, 0.0000, 0.3731) and Cu at (0.0000, 0.0000, 0.2677).


8.
A plane-wave DFT calculation with PBE was carried out for a relaxed Li15Ca6Ga8 crystal.

As for the formation energy: -21 kJ per mole of atoms. As for the magnetic moment: 0.00 μB per cell.

The space group is Fm-3m (No. 225) and the conventional cell measures 13.3993, 13.3993 and 13.3993 Å, with angles of 90.00, 90.00 and 90.00 degrees. The asymmetric unit holds Li at (0.0000, 0.0000, 0.0000), Li at (0.0000, 0.2500, 0.2500), Li at (0.1755, 0.1755, 0.3245), Ca at (0.0000, 0.0000, 0.2809) and Ga at (0.1221, 0.1221, 0.1221).


9.
A plane-wave DFT calculation with PBE was carried out for a relaxed K4ZrRh crystal.

As for the formation energy: 120 kJ per mole of atoms. As for the magnetic moment: 11.19 μB per cell.

The space group is F-43m (No. 216) and the conventional cell measures 9.5034, 9.5034 and 9.5034 Å, with angles of 90.00, 90.00 and 90.00 degrees. The asymmetric unit holds K at (0.1234, 0.1234, 0.1234), Zr at (0.0000, 0.0000, 0.5000) and Rh at (0.2500, 0.2500, 0.7500).


10.
A plane-wave DFT calculation with PBE was carried out for a relaxed Cs2Pu2ZnS6 crystal.

As for the magnetic moment: 16.00 μB per cell. The formation energy (no corrections) is -1231 meV/atom.

The space group is C2/m (No. 12) and the conventional cell measures 6.6485, 12.5210 and 8.5019 Å, with angles of 90.00, 104.78 and 90.00 degrees. The asymmetric unit holds Cs at (0.0000, 0.1540, 0.0000), Pu at (0.0000, 0.3344, 0.5000), Zn at (0.0000, 0.0000, 0.5000), S at (0.2340, 0.1823, 0.6806) and S at (0.2461, 0.0000, 0.3486).


11.
A plane-wave DFT calculation with PBE was carried out for a relaxed Na3Sb2Au crystal.

As for the magnetic moment: 0.00 μB per cell. The formation energy (no corrections) is -367 meV/atom.

The space group is P2_1/c (No. 14) and the conventional cell measures 9.3232, 6.4146 and 11.1124 Å, with angles of 90.00, 90.07 and 90.00 degrees. The asymmetric unit holds Na at (0.1108, 0.0927, 0.3810), Na at (0.2518, 0.7473, 0.6359), Na at (0.3857, 0.0922, 0.8816), Sb at (0.0238, 0.6195, 0.3890), Sb at (0.4801, 0.6213, 0.8889) and Au at (0.2472, 0.2469, 0.6288).


12.
A plane-wave DFT calculation with PBE was carried out for a relaxed Sc2GaHRu crystal.

As for the magnetic moment: 0.00 μB per cell. The uncorrected energy comes out at -6.24 eV per atom.

The space group is P4/mmm (No. 123) and the conventional cell measures 4.5527, 4.5527 and 3.5507 Å, with angles of 90.00, 90.00 and 90.00 degrees. The asymmetric unit holds Sc at (0.0000, 0.5000, 0.0000), Ga at (0.0000, 0.0000, 0.5000), H at (0.5000, 0.5000, 0.0000) and Ru at (0.5000, 0.5000, 0.5000).


13.
A plane-wave DFT calculation with PBE was carried out for a relaxed InReBr2 crystal.

As for the magnetic moment: 0.00 μB per cell. The formation energy (no corrections) is 832 meV/atom.

The space group is P4/mmm (No. 123) and the conventional cell measures 3.1933, 3.1933 and 9.2102 Å, with angles of 90.00, 90.00 and 90.00 degrees. The asymmetric unit holds In at (0.0000, 0.0000, 0.0000), Re at (0.0000, 0.0000, 0.5000) and Br at (0.5000, 0.5000, 0.3290).


14.
A plane-wave DFT calculation with PBE was carried out for a relaxed MgGe2 crystal.

As for the formation energy: 6 kJ per mole of atoms. As for the magnetic moment: 0.00 μB per cell.

The space group is C2/m (No. 12) and the conventional cell measures 5.0973, 5.0044 and 5.2311 Å, with angles of 90.00, 118.85 and 90.00 degrees. The asymmetric unit holds Mg at (0.0000, 0.0000, 0.0000) and Ge at (0.1757, 0.5000, 0.3554).


15.
A plane-wave DFT calculation with PBE was carried out for a relaxed HgTeIr2 crystal.

As for the magnetic moment: 0.00 μB per cell. The formation energy (no corrections) is 451 meV/atom.

The space group is P4mm (No. 99) and the conventional cell measures 3.0207, 3.0207 and 8.7285 Å, with angles of 90.00, 90.00 and 90.00 degrees. The asymmetric unit holds Hg at (0.0000, 0.0000, 0.0000), Te at (0.5000, 0.5000, 0.6411), Ir at (0.0000, 0.0000, 0.4296) and Ir at (0.5000, 0.5000, 0.2323).


16.
A plane-wave DFT calculation with PBE was carried out for a relaxed TaSb2TeCl crystal.

As for the magnetic moment: 1.71 μB per cell. The formation energy (no corrections) is 1292 meV/atom.

The space group is P4/mmm (No. 123) and the conventional cell measures 5.1168, 5.1168 and 5.2884 Å, with angles of 90.00, 90.00 and 90.00 degrees. The asymmetric unit holds Ta at (0.0000, 0.0000, 0.0000), Sb at (0.0000, 0.5000, 0.5000), Te at (0.5000, 0.5000, 0.0000) and Cl at (0.5000, 0.5000, 0.5000).


17.
A plane-wave DFT calculation with PBE was carried out for a relaxed LiAcNi10 crystal.

As for the formation energy: -3 kJ per mole of atoms. As for the magnetic moment: 4.16 μB per cell.

The space group is Pmmm (No. 47) and the conventional cell measures 4.0059, 4.8542 and 8.5346 Å, with angles of 90.00, 90.00 and 90.00 degrees. The asymmetric unit holds Li at (0.0000, 0.0000, 0.0000), Ac at (0.0000, 0.5000, 0.5000), Ni at (0.0000, 0.0000, 0.3030), Ni at (0.0000, 0.5000, 0.1504), Ni at (0.5000, 0.0000, 0.5000), Ni at (0.5000, 0.2470, 0.2394) and Ni at (0.5000, 0.5000, 0.0000).


18.
A plane-wave DFT calculation with PBE was carried out for a relaxed RbLiAuBr3 crystal.

As for the magnetic moment: 0.00 μB per cell. The formation energy (no corrections) is -1076 meV/atom.

The space group is C2/m (No. 12) and the conventional cell measures 15.2047, 7.5264 and 7.8291 Å, with angles of 90.00, 108.13 and 90.00 degrees. The asymmetric unit holds Rb at (0.2245, 0.0000, 0.2429), Li at (0.0349, 0.5000, 0.2452), Au at (0.0000, 0.2175, 0.5000), Br at (0.0775, 0.2455, 0.8217) and Br at (0.1974, 0.5000, 0.3014).


19.
A plane-wave DFT calculation with PBE was carried out for a relaxed Dy2ZnAu4 crystal.

As for the formation energy: -65 kJ per mole of atoms. As for the magnetic moment: 0.00 μB per cell.

The space group is C2/m (No. 12) and the conventional cell measures 8.6320, 5.1271 and 7.8588 Å, with angles of 90.00, 121.90 and 90.00 degrees. The asymmetric unit holds Dy at (0.0627, 0.0000, 0.2826), Zn at (0.0000, 0.5000, 0.5000), Au at (0.1821, 0.5000, 0.8863) and Au at (0.2190, 0.5000, 0.2733).


20.
A plane-wave DFT calculation with PBE was carried out for a relaxed DyPuCoRu crystal.

As for the formation energy: -14 kJ per mole of atoms. As for the magnetic moment: 14.00 μB per cell.

The space group is F-43m (No. 216) and the conventional cell measures 6.7303, 6.7303 and 6.7303 Å, with angles of 90.00, 90.00 and 90.00 degrees. The asymmetric unit holds Dy at (0.0000, 0.0000, 0.0000), Pu at (0.0000, 0.0000, 0.5000), Co at (0.2500, 0.2500, 0.2500) and Ru at (0.2500, 0.2500, 0.7500).